Entry 1:
# HgRuO2F PBE optimized geometry
data_HgRuO2F
_cell_length_a 4.208
_cell_length_b 4.208
_cell_length_c 4.473
_cell_angle_alpha 90.00
_cell_angle_beta 90.00
_cell_angle_gamma 90.00
_symmetry_space_group_name_H-M 'P 4/m m m'
_symmetry_Int_Tables_number 123
_symmetry_space_group_name_Hall '-P 4 2'
loop_
_atom_site_label
_atom_site_type_symbol
_atom_site_fract_x
_atom_site_fract_y
_atom_site_fract_z
Hg1 Hg 0.000 0.000 0.000
Ru1 Ru 0.500 0.500 0.500
O1 O 0.000 0.500 0.000
F1 F 0.000 0.000 0.500
# density of states at the Fermi level: 5.2 states/eV/cell
# total moment: 4.20 μB/cell
# energy: -0.136 hartree per atom

Entry 2:
# RbNaPt2C PBE optimized geometry
data_RbNaPt2C
_cell_length_a 4.155
_cell_length_b 4.155
_cell_length_c 5.663
_cell_angle_alpha 90.00
_cell_angle_beta 90.00
_cell_angle_gamma 90.00
_symmetry_space_group_name_H-M 'P 4/m m m'
_symmetry_Int_Tables_number 123
_symmetry_space_group_name_Hall '-P 4 2'
loop_
_atom_site_label
_atom_site_type_symbol
_atom_site_fract_x
_atom_site_fract_y
_atom_site_fract_z
Rb1 Rb 0.000 0.000 0.000
Na1 Na 0.500 0.500 0.000
Pt1 Pt 0.000 0.500 0.500
C1 C 0.000 0.000 0.500
# density of states at the Fermi level: 3.8 states/eV/cell
# total moment: 0.00 μB/cell
# formation enthalpy at 0 K: 36.17 kJ/mol of atoms

Entry 3:
# YTeP2S PBE optimized geometry
data_YTeP2S
_cell_length_a 5.400
_cell_length_b 5.400
_cell_length_c 5.022
_cell_angle_alpha 90.00
_cell_angle_beta 90.00
_cell_angle_gamma 90.00
_symmetry_space_group_name_H-M 'P 4/m m m'
_symmetry_Int_Tables_number 123
_symmetry_space_group_name_Hall '-P 4 2'
loop_
_atom_site_label
_atom_site_type_symbol
_atom_site_fract_x
_atom_site_fract_y
_atom_site_fract_z
Y1 Y 0.000 0.000 0.000
Te1 Te 0.500 0.500 0.500
P1 P 0.000 0.500 0.000
S1 S 0.000 0.000 0.500
# density of states at the Fermi level: 7.6 states/eV/cell
# total moment: 0.53 μB/cell
# polymorph energy (0 for the lowest one): 0.2083 eV per atom